A plane-wave DFT calculation with PBE-GGA was carried out for crystalline CuNiSb6 at its relaxed geometry.

## Properties
Final energy (eV/atom): -4.367
Total magnetic moment (μB per cell): 0.00
SG: No. 12

Cell and atoms, written as POSCAR:
```
CuNiSb6
1.0
6.602 -4.668 0.000
6.602 4.668 0.000
-6.584 0.000 6.666
Cu Ni Sb
2 2 12
Cartesian
3.301 2.334 0.000 Cu
3.301 -2.334 0.000 Cu
0.009 2.334 3.333 Ni
0.009 -2.334 3.333 Ni
2.223 3.184 4.357 Sb
4.396 3.184 2.309 Sb
-0.987 1.493 5.571 Sb
1.168 0.000 3.294 Sb
3.330 0.000 1.268 Sb
7.606 1.493 1.095 Sb
-0.987 -1.493 5.571 Sb
3.289 0.000 5.399 Sb
5.451 0.000 3.373 Sb
7.606 -1.493 1.095 Sb
2.223 -3.184 4.357 Sb
4.396 -3.184 2.309 Sb
```

=====

A plane-wave DFT calculation with PBE-GGA was carried out for crystalline CuNi2Sb at its relaxed geometry.

## Properties
Final energy (eV/atom): -5.039
Total magnetic moment (μB per cell): 0.00
SG: No. 139

Cell and atoms, written as POSCAR:
```
CuNi2Sb
1.0
-2.014 2.014 3.311
2.014 -2.014 3.311
2.014 2.014 -3.311
Cu Ni Sb
1 2 1
Cartesian
0.000 0.000 0.000 Cu
2.014 0.000 1.656 Ni
0.000 2.014 1.656 Ni
0.000 0.000 3.311 Sb
```

=====

A plane-wave DFT calculation with PBE-GGA was carried out for crystalline CuNi12Sb3 at its relaxed geometry.

## Properties
Final energy (eV/atom): -5.470
Total magnetic moment (μB per cell): 0.96
SG: No. 123

Cell and atoms, written as POSCAR:
```
CuNi12Sb3
1.0
3.701 0.000 0.000
0.000 3.701 0.000
0.000 0.000 14.518
Cu Ni Sb
1 12 3
Cartesian
0.000 0.000 0.000 Cu
0.000 1.850 1.666 Ni
0.000 1.850 5.400 Ni
0.000 1.850 9.118 Ni
0.000 1.850 12.852 Ni
1.850 0.000 1.666 Ni
1.850 0.000 5.400 Ni
1.850 0.000 9.118 Ni
1.850 0.000 12.852 Ni
1.850 1.850 0.000 Ni
1.850 1.850 3.596 Ni
1.850 1.850 7.259 Ni
1.850 1.850 10.922 Ni
0.000 0.000 3.459 Sb
0.000 0.000 7.259 Sb
0.000 0.000 11.059 Sb
```

=====

A plane-wave DFT calculation with PBE-GGA was carried out for crystalline CuNi2Sb2 at its relaxed geometry.

## Properties
Excess energy over the best structure of this formula in the dataset (eV/atom): 0.184
Final energy (eV/atom): -4.555
Total magnetic moment (μB per cell): 0.00
SG: No. 139

Cell and atoms, written as POSCAR:
```
CuNi2Sb2
1.0
-2.504 2.504 3.584
2.504 -2.504 3.584
2.504 2.504 -3.584
Cu Ni Sb
1 2 2
Cartesian
0.000 0.000 0.000 Cu
0.000 0.000 2.439 Ni
0.000 0.000 4.730 Ni
2.504 0.000 1.792 Sb
0.000 2.504 1.792 Sb
```